# 1
## Ac6BiTe3Ir2 (PBE)

Data for Ac6BiTe3Ir2 after structural relaxation.

calculated volume: 432 Å³ per cell
raw total energy: -5.8013 eV/atom

a = 4.5582 Å, b = 9.6100 Å, c = 10.5291 Å
α = 105.89°, β = 102.50°, γ = 90.00°
Last column: nearest neighbours and their distance in Å.
Positions (direct):
Ir  0.1702  0.3387  0.3403  6 Ac 2.99-3.11
Ir  0.8298  0.6613  0.6597  6 Ac 2.99-3.11
Te  0.5000  0.5000  0.0000  6 Ac 3.34-3.54
Te  0.8412  0.1627  0.6825  6 Ac 3.40-3.60
Te  0.1588  0.8373  0.3175  6 Ac 3.40-3.60
Bi  0.5000  0.0000  0.0000  6 Ac 3.33-3.39
Ac  0.0190  0.2604  0.0379  1 Ir 2.99, 2 Bi 3.33, 2 Te 3.34
Ac  0.3217  0.4375  0.6434  3 Ir 2.99-3.11
Ac  0.6783  0.5625  0.3566  3 Ir 2.99-3.11
Ac  0.9810  0.7396  0.9621  1 Ir 2.99, 2 Bi 3.33, 2 Te 3.34
Ac  0.3282  0.8773  0.6565  2 Ir 3.09, 1 Bi 3.39, 1 Te 3.40
Ac  0.6718  0.1227  0.3435  2 Ir 3.09, 1 Bi 3.39, 1 Te 3.40

# 2
## KAcBi2 (PBE)

Data for KAcBi2 after structural relaxation.

calculated volume: 144 Å³ per cell
distance to the lowest polymorph of the same formula: 55 meV/atom
ΔH_f (0 K): -0.53 eV/atom

a = 4.6576 Å, b = 5.5631 Å, c = 5.5631 Å
α = 90.00°, β = 90.00°, γ = 90.00°
Last column: nearest neighbours and their distance in Å.
Positions (direct):
Bi  0.0000  0.0000  0.5000  4 Ac 3.63, 4 K 3.63, 4 Bi 3.93
Bi  0.0000  0.5000  0.0000  4 Ac 3.63, 4 K 3.63, 4 Bi 3.93
Ac  0.5000  0.5000  0.5000  8 Bi 3.63, 4 K 3.93
K  0.5000  0.0000  0.0000  8 Bi 3.63, 4 Ac 3.93

# 3
## KAcBi2 (PBE)

Data for KAcBi2 after structural relaxation.

calculated volume: 160 Å³ per cell
distance to the lowest polymorph of the same formula: 0 meV/atom
ΔH_f (0 K): -0.58 eV/atom

a = 4.5124 Å, b = 4.5124 Å, c = 7.8418 Å
α = 90.00°, β = 90.00°, γ = 90.00°
Last column: nearest neighbours and their distance in Å.
Positions (direct):
K  0.5000  0.5000  0.5000  2 Ac 3.92, 8 Bi 3.95
Bi  0.0000  0.0000  0.7961  1 Bi 3.20, 4 Ac 3.57
Bi  0.0000  0.0000  0.2039  1 Bi 3.20, 4 Ac 3.57
Ac  0.5000  0.5000  0.0000  8 Bi 3.57, 2 K 3.92

# 4
## KAcBi2 (PBE)

Data for KAcBi2 after structural relaxation.

calculated volume: 151 Å³ per cell
distance to the lowest polymorph of the same formula: 253 meV/atom
ΔH_f (0 K): -0.33 eV/atom

a = 3.9385 Å, b = 3.9385 Å, c = 11.4871 Å
α = 80.13°, β = 80.13°, γ = 60.00°
Last column: nearest neighbours and their distance in Å.
Positions (direct):
Ac  0.5000  0.5000  0.5000  6 Bi 3.58, 6 Ac 3.94
Bi  0.7516  0.7516  0.7452  3 Ac 3.58, 3 K 3.66, 6 Bi 3.94
Bi  0.2484  0.2484  0.2548  3 Ac 3.58, 3 K 3.66, 6 Bi 3.94
K  0.0000  0.0000  0.0000  6 Bi 3.66, 6 K 3.94

# 5
## KAcBi (PBE)

Data for KAcBi after structural relaxation.

calculated volume: 133 Å³ per cell
distance to the lowest polymorph of the same formula: 0 meV/atom
ΔH_f (0 K): -0.35 eV/atom

a = 5.7298 Å, b = 5.7298 Å, c = 5.7298 Å
α = 60.00°, β = 60.00°, γ = 60.00°
Last column: nearest neighbours and their distance in Å.
Positions (direct):
K  0.5000  0.5000  0.5000  4 Bi 3.51
Bi  0.2500  0.2500  0.2500  4 Ac 3.51, 4 K 3.51
Ac  0.0000  0.0000  0.0000  4 Bi 3.51

# 6
## KAcBi2 (PBE)

Data for KAcBi2 after structural relaxation.

calculated volume: 147 Å³ per cell
distance to the lowest polymorph of the same formula: 117 meV/atom
ΔH_f (0 K): -0.47 eV/atom

a = 5.9261 Å, b = 5.9261 Å, c = 5.9261 Å
α = 60.00°, β = 60.00°, γ = 60.00°
Last column: nearest neighbours and their distance in Å.
Positions (direct):
Bi  0.7500  0.7500  0.7500  4 K 3.63, 4 Ac 3.63
Bi  0.2500  0.2500  0.2500  4 Ac 3.63, 4 K 3.63
Ac  0.0000  0.0000  0.0000  8 Bi 3.63
K  0.5000  0.5000  0.5000  8 Bi 3.63

# 7
## KAcBi (PBE)

Data for KAcBi after structural relaxation.

calculated volume: 154 Å³ per cell
distance to the lowest polymorph of the same formula: 5 meV/atom
ΔH_f (0 K): -0.35 eV/atom

a = 4.5512 Å, b = 4.5512 Å, c = 8.1153 Å
α = 106.28°, β = 106.28°, γ = 90.00°
Last column: nearest neighbours and their distance in Å.
Positions (direct):
K  0.0137  0.0137  0.0274  1 Ac 3.92, 4 Bi 4.35
Ac  0.2766  0.2766  0.5532  4 Bi 3.37
Bi  0.7097  0.7097  0.4193  4 Ac 3.37

# 8
## KAcBi (PBE)

Data for KAcBi after structural relaxation.

calculated volume: 145 Å³ per cell
distance to the lowest polymorph of the same formula: 97 meV/atom
ΔH_f (0 K): -0.26 eV/atom

a = 5.2069 Å, b = 5.6609 Å, c = 5.6609 Å
α = 120.00°, β = 90.00°, γ = 90.00°
Last column: nearest neighbours and their distance in Å.
Positions (direct):
K  0.6414  0.6667  0.3333  3 Bi 3.93, 6 Ac 4.16-4.20
Ac  0.1361  0.0000  0.0000  3 Bi 3.30
Bi  0.2225  0.3333  0.6667  3 Ac 3.30

# 9
## KAcBi (PBE)

Data for KAcBi after structural relaxation.

calculated volume: 341 Å³ per cell
distance to the lowest polymorph of the same formula: 86 meV/atom
ΔH_f (0 K): -0.27 eV/atom

a = 4.9219 Å, b = 4.9219 Å, c = 16.5111 Å
α = 90.10°, β = 98.44°, γ = 120.12°
Last column: nearest neighbours and their distance in Å.
Positions (direct):
K  0.0467  0.0309  0.0776  3 Bi 3.60
K  0.3862  0.1848  0.5710  3 Bi 3.74, 1 Ac 4.10
Ac  0.5373  0.7768  0.3141  3 Bi 3.28
Ac  0.5535  0.2697  0.8232  3 Bi 3.29
Bi  0.1528  0.5679  0.7206  3 Ac 3.29
Bi  0.8036  0.4099  0.2135  3 Ac 3.28, 3 K 3.60

# 10
## KNaAcBi (PBE)

Data for KNaAcBi after structural relaxation.

calculated volume: 151 Å³ per cell
ΔH_f (0 K): -0.22 eV/atom

a = 5.9797 Å, b = 5.9797 Å, c = 5.9797 Å
α = 60.00°, β = 60.00°, γ = 60.00°
Last column: nearest neighbours and their distance in Å.
Positions (direct):
Ac  0.2500  0.2500  0.2500  4 Na 3.66, 4 Bi 3.66
Na  0.0000  0.0000  0.0000  4 Ac 3.66, 4 K 3.66
K  0.7500  0.7500  0.7500  4 Na 3.66, 4 Bi 3.66
Bi  0.5000  0.5000  0.5000  4 Ac 3.66, 4 K 3.66

# 11
## KAcBiO3 (PBE)

Data for KAcBiO3 after structural relaxation.

calculated volume: 242 Å³ per cell
raw total energy: -5.9762 eV/atom

a = 4.4209 Å, b = 7.6331 Å, c = 7.7056 Å
α = 102.69°, β = 90.00°, γ = 106.83°
Last column: nearest neighbours and their distance in Å.
Positions (direct):
K  0.3402  0.6805  0.9223  1 O 2.63
K  0.6598  0.3195  0.0777  1 O 2.63
Bi  0.9997  0.9994  0.2414  3 O 2.26
Bi  0.0003  0.0006  0.7586  3 O 2.26
O  0.4932  0.9864  0.6981  2 Bi 2.26
O  0.5068  0.0136  0.3019  2 Bi 2.26
O  0.1792  0.3585  0.3831  1 Ac 2.42, 1 Bi 2.60
O  0.8208  0.6415  0.6169  1 Ac 2.42, 1 Bi 2.60
O  0.8421  0.6842  0.2113  1 Bi 2.26
O  0.1579  0.3158  0.7887  1 Bi 2.26
Ac  0.6515  0.3029  0.5714  2 O 2.42-2.60
Ac  0.3485  0.6971  0.4286  2 O 2.42-2.60

# 12
## K3Ac2BiO6 (PBE)

Data for K3Ac2BiO6 after structural relaxation.

calculated volume: 236 Å³ per cell
raw total energy: -5.9249 eV/atom

a = 6.5418 Å, b = 6.5418 Å, c = 6.7144 Å
α = 99.26°, β = 99.26°, γ = 120.02°
Last column: nearest neighbours and their distance in Å.
Positions (direct):
Bi  0.0000  0.0000  0.0000  6 O 2.48
O  0.9342  0.6083  0.8016  1 Bi 2.48, 2 Ac 2.54
O  0.7391  0.7391  0.1979  1 Bi 2.48, 2 Ac 2.54
O  0.6083  0.9342  0.8016  1 Bi 2.48, 2 Ac 2.54
O  0.2609  0.2609  0.8021  1 Bi 2.48, 2 Ac 2.54
O  0.3917  0.0658  0.1984  1 Bi 2.48, 2 Ac 2.54
O  0.0658  0.3917  0.1984  1 Bi 2.48, 2 Ac 2.54
Ac  0.6670  0.3330  0.0000  6 O 2.54
Ac  0.3330  0.6670  0.0000  6 O 2.54
K  0.5000  0.5000  0.5000  6 O 2.89-2.93
K  0.1591  0.8409  0.5000  6 O 2.84-3.00
K  0.8409  0.1591  0.5000  6 O 2.84-3.00

Question: Look up the calculated volume of the fourth one.
Answer: 151 Å³ per cell

Question: What is the calculated volume in the tenth record?
Answer: 151 Å³ per cell

Question: What is the formula in the fifth record?
Answer: KAcBi